(i)
! GaTe2ICl | Alexandria | PBE | relaxed; values from VASP
&SYSTEM
  ibrav = 0, nat = 5, ntyp = 4
/
ATOMIC_SPECIES
Ga 69.72 Ga.upf
Te 127.60 Te.upf
I 126.90 I.upf
Cl 35.45 Cl.upf
ATOMIC_POSITIONS crystal
Ga 0.000 0.000 0.000
Te 0.000 0.500 0.500
Te 0.500 0.000 0.500
I 0.500 0.500 0.000
Cl 0.500 0.500 0.500
CELL_PARAMETERS angstrom
5.247 0.000 0.000
0.000 5.247 0.000
0.000 0.000 7.532
! Size of the total moment ... 0.31 μB per atom

---

(ii)
! GaTe2ICl | Alexandria | PBE | relaxed; values from VASP
&SYSTEM
  ibrav = 0, nat = 5, ntyp = 4
/
ATOMIC_SPECIES
Ga 69.72 Ga.upf
Te 127.60 Te.upf
I 126.90 I.upf
Cl 35.45 Cl.upf
ATOMIC_POSITIONS crystal
Ga 0.000 0.000 0.000
Te 0.000 0.500 0.000
Te 0.500 0.000 0.000
I 0.000 0.000 0.500
Cl 0.500 0.500 0.500
CELL_PARAMETERS angstrom
5.436 0.000 0.000
0.000 5.436 0.000
0.000 0.000 5.499
! Size of the total moment ... 0.00 μB per atom

---

Stability verdict: (ii), ahead by 11.6 kJ/mol of atoms

---

(i)
! TlGaICl | Alexandria | PBE | relaxed; values from VASP
&SYSTEM
  ibrav = 0, nat = 4, ntyp = 4
/
ATOMIC_SPECIES
Tl 204.38 Tl.upf
Ga 69.72 Ga.upf
I 126.90 I.upf
Cl 35.45 Cl.upf
ATOMIC_POSITIONS crystal
Tl 0.000 0.000 0.000
Ga 0.500 0.500 0.500
I 0.250 0.250 0.250
Cl 0.750 0.750 0.750
CELL_PARAMETERS angstrom
0.000 3.995 3.995
3.995 0.000 3.995
3.995 3.995 0.000
! Size of the total moment ... 0.00 μB per atom

---

(ii)
! TlGaICl | Alexandria | PBE | relaxed; values from VASP
&SYSTEM
  ibrav = 0, nat = 8, ntyp = 4
/
ATOMIC_SPECIES
Tl 204.38 Tl.upf
Ga 69.72 Ga.upf
I 126.90 I.upf
Cl 35.45 Cl.upf
ATOMIC_POSITIONS crystal
Tl 0.118 0.118 0.118
Tl 0.882 0.882 0.882
Ga 0.287 0.287 0.287
Ga 0.713 0.713 0.713
I 0.384 0.384 0.384
I 0.616 0.616 0.616
Cl 0.205 0.205 0.205
Cl 0.795 0.795 0.795
CELL_PARAMETERS angstrom
2.784 1.608 11.716
-2.784 1.608 11.716
0.000 -3.215 11.716
! Size of the total moment ... 0.00 μB per atom

---

Stability verdict: (ii), ahead by 6.5 kJ/mol of atoms

---

(i)
! In2GaCl | Alexandria | PBE | relaxed; values from VASP
&SYSTEM
  ibrav = 0, nat = 4, ntyp = 3
/
ATOMIC_SPECIES
In 114.82 In.upf
Ga 69.72 Ga.upf
Cl 35.45 Cl.upf
ATOMIC_POSITIONS crystal
In 0.112 0.112 0.112
In 0.888 0.888 0.888
Ga 0.500 0.500 0.500
Cl 0.000 0.000 0.000
CELL_PARAMETERS angstrom
2.199 1.270 7.765
-2.199 1.270 7.765
0.000 -2.539 7.765
! Size of the total moment ... 0.00 μB per atom

---

(ii)
! In2GaCl | Alexandria | PBE | relaxed; values from VASP
&SYSTEM
  ibrav = 0, nat = 4, ntyp = 3
/
ATOMIC_SPECIES
In 114.82 In.upf
Ga 69.72 Ga.upf
Cl 35.45 Cl.upf
ATOMIC_POSITIONS crystal
In 0.000 0.500 0.000
In 0.500 0.000 0.000
Ga 0.000 0.000 0.500
Cl 0.500 0.500 0.500
CELL_PARAMETERS angstrom
5.466 0.000 0.000
0.000 5.466 0.000
0.000 0.000 3.263
! Size of the total moment ... 0.00 μB per atom

---

Stability verdict: (ii), ahead by 3.1 kJ/mol of atoms

---

(i)
! In2GaCl | Alexandria | PBE | relaxed; values from VASP
&SYSTEM
  ibrav = 0, nat = 8, ntyp = 3
/
ATOMIC_SPECIES
In 114.82 In.upf
Ga 69.72 Ga.upf
Cl 35.45 Cl.upf
ATOMIC_POSITIONS crystal
In 0.082 0.625 0.957
In 0.375 0.332 0.457
In 0.668 0.125 0.043
In 0.875 0.918 0.543
Ga 0.000 0.000 0.000
Ga 0.750 0.250 0.500
Cl 0.250 0.750 0.500
Cl 0.500 0.500 0.000
CELL_PARAMETERS angstrom
-3.131 3.131 6.849
3.131 -3.131 6.849
3.131 3.131 -6.849
! Size of the total moment ... 0.00 μB per atom

---

(ii)
! In2GaCl | Alexandria | PBE | relaxed; values from VASP
&SYSTEM
  ibrav = 0, nat = 4, ntyp = 3
/
ATOMIC_SPECIES
In 114.82 In.upf
Ga 69.72 Ga.upf
Cl 35.45 Cl.upf
ATOMIC_POSITIONS crystal
In 0.250 0.250 0.250
In 0.750 0.750 0.750
Ga 0.000 0.000 0.000
Cl 0.500 0.500 0.500
CELL_PARAMETERS angstrom
0.000 3.679 3.679
3.679 0.000 3.679
3.679 3.679 0.000
! Size of the total moment ... 0.00 μB per atom

---

Stability verdict: (i), ahead by 6.0 kJ/mol of atoms

---

(i)
! InGaCl2 | Alexandria | PBE | relaxed; values from VASP
&SYSTEM
  ibrav = 0, nat = 4, ntyp = 3
/
ATOMIC_SPECIES
In 114.82 In.upf
Ga 69.72 Ga.upf
Cl 35.45 Cl.upf
ATOMIC_POSITIONS crystal
In 0.000 0.000 0.000
Ga 0.500 0.500 0.500
Cl 0.403 0.403 0.403
Cl 0.597 0.597 0.597
CELL_PARAMETERS angstrom
2.238 1.292 8.964
-2.238 1.292 8.964
0.000 -2.585 8.964
! Size of the total moment ... 0.00 μB per atom

---

(ii)
! InGaCl2 | Alexandria | PBE | relaxed; values from VASP
&SYSTEM
  ibrav = 0, nat = 16, ntyp = 3
/
ATOMIC_SPECIES
In 114.82 In.upf
Ga 69.72 Ga.upf
Cl 35.45 Cl.upf
ATOMIC_POSITIONS crystal
In 0.153 0.250 0.045
In 0.347 0.750 0.545
In 0.653 0.250 0.455
In 0.847 0.750 0.955
Ga 0.007 0.250 0.616
Ga 0.493 0.750 0.116
Ga 0.507 0.250 0.884
Ga 0.993 0.750 0.384
Cl 0.048 0.750 0.814
Cl 0.160 0.750 0.299
Cl 0.340 0.250 0.799
Cl 0.452 0.250 0.314
Cl 0.548 0.750 0.686
Cl 0.660 0.750 0.201
Cl 0.840 0.250 0.701
Cl 0.952 0.250 0.186
CELL_PARAMETERS angstrom
14.212 0.000 0.000
0.000 4.255 0.000
0.000 0.000 8.781
! Size of the total moment ... 0.00 μB per atom

---

(iii)
! InGaCl2 | Alexandria | PBE | relaxed; values from VASP
&SYSTEM
  ibrav = 0, nat = 4, ntyp = 3
/
ATOMIC_SPECIES
In 114.82 In.upf
Ga 69.72 Ga.upf
Cl 35.45 Cl.upf
ATOMIC_POSITIONS crystal
In 0.000 0.000 0.000
Ga 0.500 0.500 0.500
Cl 0.250 0.250 0.250
Cl 0.750 0.750 0.750
CELL_PARAMETERS angstrom
0.000 3.755 3.755
3.755 0.000 3.755
3.755 3.755 0.000
! Size of the total moment ... 0.00 μB per atom

---

Stability verdict: (ii), ahead by 6.4 kJ/mol of atoms

---

(i)
! InGaCl2 | Alexandria | PBE | relaxed; values from VASP
&SYSTEM
  ibrav = 0, nat = 8, ntyp = 3
/
ATOMIC_SPECIES
In 114.82 In.upf
Ga 69.72 Ga.upf
Cl 35.45 Cl.upf
ATOMIC_POSITIONS crystal
In 0.116 0.116 0.400
In 0.884 0.884 0.600
Ga 0.373 0.367 0.091
Ga 0.633 0.627 0.909
Cl 0.196 0.131 0.931
Cl 0.336 0.350 0.512
Cl 0.650 0.664 0.488
Cl 0.869 0.804 0.069
CELL_PARAMETERS angstrom
6.681 -3.074 0.000
6.681 3.074 0.000
-1.745 0.000 6.034
! Size of the total moment ... 0.00 μB per atom

---

(ii)
! InGaCl2 | Alexandria | PBE | relaxed; values from VASP
&SYSTEM
  ibrav = 0, nat = 4, ntyp = 3
/
ATOMIC_SPECIES
In 114.82 In.upf
Ga 69.72 Ga.upf
Cl 35.45 Cl.upf
ATOMIC_POSITIONS crystal
In 0.000 0.000 0.000
Ga 0.833 0.833 0.833
Cl 0.241 0.241 0.241
Cl 0.419 0.419 0.419
CELL_PARAMETERS angstrom
2.151 1.242 7.610
-2.151 1.242 7.610
0.000 -2.484 7.610
! Size of the total moment ... 0.00 μB per atom

---

(iii)
! InGaCl2 | Alexandria | PBE | relaxed; values from VASP
&SYSTEM
  ibrav = 0, nat = 4, ntyp = 3
/
ATOMIC_SPECIES
In 114.82 In.upf
Ga 69.72 Ga.upf
Cl 35.45 Cl.upf
ATOMIC_POSITIONS crystal
In 0.000 0.000 0.000
Ga 0.000 0.000 0.500
Cl 0.500 0.500 0.262
Cl 0.500 0.500 0.738
CELL_PARAMETERS angstrom
3.737 0.000 0.000
0.000 3.737 0.000
0.000 0.000 7.541
! Size of the total moment ... 0.00 μB per atom

---

Stability verdict: (i), ahead by 2.9 kJ/mol of atoms

---

(i)
! In3GaCl | Alexandria | PBE | relaxed; values from VASP
&SYSTEM
  ibrav = 0, nat = 5, ntyp = 3
/
ATOMIC_SPECIES
In 114.82 In.upf
Ga 69.72 Ga.upf
Cl 35.45 Cl.upf
ATOMIC_POSITIONS crystal
In 0.000 0.000 0.500
In 0.000 0.500 0.000
In 0.500 0.000 0.000
Ga 0.000 0.000 0.000
Cl 0.500 0.500 0.500
CELL_PARAMETERS angstrom
5.475 0.000 0.000
0.000 5.475 0.000
0.000 0.000 5.475
! Size of the total moment ... 0.00 μB per atom

---

(ii)
! In3GaCl | Alexandria | PBE | relaxed; values from VASP
&SYSTEM
  ibrav = 0, nat = 5, ntyp = 3
/
ATOMIC_SPECIES
In 114.82 In.upf
Ga 69.72 Ga.upf
Cl 35.45 Cl.upf
ATOMIC_POSITIONS crystal
In 0.000 0.000 0.500
In 0.000 0.500 0.000
In 0.500 0.000 0.000
Ga 0.500 0.500 0.500
Cl 0.000 0.000 0.000
CELL_PARAMETERS angstrom
5.661 0.000 0.000
0.000 5.661 0.000
0.000 0.000 5.661
! Size of the total moment ... 0.00 μB per atom

---

Stability verdict: (i), ahead by 25.0 kJ/mol of atoms

---

(i)
! In2GaCl3 | Alexandria | PBE | relaxed; values from VASP
&SYSTEM
  ibrav = 0, nat = 12, ntyp = 3
/
ATOMIC_SPECIES
In 114.82 In.upf
Ga 69.72 Ga.upf
Cl 35.45 Cl.upf
ATOMIC_POSITIONS crystal
In 0.036 0.690 0.500
In 0.310 0.964 0.500
In 0.690 0.036 0.000
In 0.964 0.310 0.000
Ga 0.313 0.687 0.911
Ga 0.687 0.313 0.411
Cl 0.036 0.346 0.554
Cl 0.346 0.036 0.054
Cl 0.410 0.590 0.286
Cl 0.590 0.410 0.786
Cl 0.654 0.964 0.554
Cl 0.964 0.654 0.054
CELL_PARAMETERS angstrom
6.729 -4.743 0.000
6.729 4.743 0.000
0.000 0.000 6.392
! Size of the total moment ... 0.00 μB per atom

---

(ii)
! In2GaCl3 | Alexandria | PBE | relaxed; values from VASP
&SYSTEM
  ibrav = 0, nat = 12, ntyp = 3
/
ATOMIC_SPECIES
In 114.82 In.upf
Ga 69.72 Ga.upf
Cl 35.45 Cl.upf
ATOMIC_POSITIONS crystal
In 0.095 0.311 0.035
In 0.246 0.345 0.632
In 0.754 0.655 0.368
In 0.905 0.689 0.965
Ga 0.434 0.956 0.707
Ga 0.566 0.044 0.293
Cl 0.112 0.067 0.264
Cl 0.258 0.606 0.416
Cl 0.404 0.747 0.928
Cl 0.596 0.253 0.072
Cl 0.742 0.394 0.584
Cl 0.888 0.933 0.736
CELL_PARAMETERS angstrom
6.232 0.000 0.000
-1.654 7.612 0.000
-1.607 -2.040 7.455
! Size of the total moment ... 0.00 μB per atom

---

Stability verdict: (ii), ahead by 3.2 kJ/mol of atoms

---

(i)
! InGa2Cl | Alexandria | PBE | relaxed; values from VASP
&SYSTEM
  ibrav = 0, nat = 4, ntyp = 3
/
ATOMIC_SPECIES
In 114.82 In.upf
Ga 69.72 Ga.upf
Cl 35.45 Cl.upf
ATOMIC_POSITIONS crystal
In 0.000 0.000 0.000
Ga 0.250 0.250 0.250
Ga 0.750 0.750 0.750
Cl 0.500 0.500 0.500
CELL_PARAMETERS angstrom
0.000 3.590 3.590
3.590 0.000 3.590
3.590 3.590 0.000
! Size of the total moment ... 0.00 μB per atom

---

(ii)
! InGa2Cl | Alexandria | PBE | relaxed; values from VASP
&SYSTEM
  ibrav = 0, nat = 8, ntyp = 3
/
ATOMIC_SPECIES
In 114.82 In.upf
Ga 69.72 Ga.upf
Cl 35.45 Cl.upf
ATOMIC_POSITIONS crystal
In 0.000 0.000 0.000
In 0.750 0.250 0.500
Ga 0.111 0.625 0.986
Ga 0.375 0.361 0.486
Ga 0.639 0.125 0.014
Ga 0.875 0.889 0.514
Cl 0.250 0.750 0.500
Cl 0.500 0.500 0.000
CELL_PARAMETERS angstrom
-3.054 3.054 6.722
3.054 -3.054 6.722
3.054 3.054 -6.722
! Size of the total moment ... 0.00 μB per atom

---

Stability verdict: (ii), ahead by 1.5 kJ/mol of atoms

---

(i)
! InGa2NiCl | Alexandria | PBE | relaxed; values from VASP
&SYSTEM
  ibrav = 0, nat = 5, ntyp = 4
/
ATOMIC_SPECIES
In 114.82 In.upf
Ga 69.72 Ga.upf
Ni 58.69 Ni.upf
Cl 35.45 Cl.upf
ATOMIC_POSITIONS crystal
In 0.000 0.000 0.000
Ga 0.000 0.500 0.500
Ga 0.500 0.000 0.500
Ni 0.000 0.000 0.500
Cl 0.500 0.500 0.000
CELL_PARAMETERS angstrom
4.619 0.000 0.000
0.000 4.619 0.000
0.000 0.000 5.061
! Size of the total moment ... 0.00 μB per atom

---

(ii)
! InGa2NiCl | Alexandria | PBE | relaxed; values from VASP
&SYSTEM
  ibrav = 0, nat = 5, ntyp = 4
/
ATOMIC_SPECIES
In 114.82 In.upf
Ga 69.72 Ga.upf
Ni 58.69 Ni.upf
Cl 35.45 Cl.upf
ATOMIC_POSITIONS crystal
In 0.000 0.000 0.000
Ga 0.000 0.500 0.500
Ga 0.500 0.000 0.500
Ni 0.500 0.500 0.000
Cl 0.000 0.000 0.500
CELL_PARAMETERS angstrom
5.182 0.000 0.000
0.000 5.182 0.000
0.000 0.000 5.539
! Size of the total moment ... 0.00 μB per atom

---

Stability verdict: (i), ahead by 110.4 kJ/mol of atoms

---

(i)
! GaIrCl3 | Alexandria | PBE | relaxed; values from VASP
&SYSTEM
  ibrav = 0, nat = 5, ntyp = 3
/
ATOMIC_SPECIES
Ga 69.72 Ga.upf
Ir 192.22 Ir.upf
Cl 35.45 Cl.upf
ATOMIC_POSITIONS crystal
Ga 0.000 0.000 0.000
Ir 0.500 0.500 0.500
Cl 0.000 0.000 0.500
Cl 0.000 0.500 0.000
Cl 0.500 0.000 0.000
CELL_PARAMETERS angstrom
4.885 0.000 0.000
0.000 4.885 0.000
0.000 0.000 4.885
! Size of the total moment ... 0.57 μB per atom

---

(ii)
! GaIrCl3 | Alexandria | PBE | relaxed; values from VASP
&SYSTEM
  ibrav = 0, nat = 5, ntyp = 3
/
ATOMIC_SPECIES
Ga 69.72 Ga.upf
Ir 192.22 Ir.upf
Cl 35.45 Cl.upf
ATOMIC_POSITIONS crystal
Ga 0.000 0.000 0.000
Ir 0.500 0.500 0.500
Cl 0.000 0.500 0.500
Cl 0.500 0.000 0.500
Cl 0.500 0.500 0.000
CELL_PARAMETERS angstrom
4.868 0.000 0.000
0.000 4.868 0.000
0.000 0.000 4.868
! Size of the total moment ... 0.00 μB per atom

---

Stability verdict: (ii), ahead by 74.4 kJ/mol of atoms

---

(i)
! Ga2IrCl | Alexandria | PBE | relaxed; values from VASP
&SYSTEM
  ibrav = 0, nat = 4, ntyp = 3
/
ATOMIC_SPECIES
Ga 69.72 Ga.upf
Ir 192.22 Ir.upf
Cl 35.45 Cl.upf
ATOMIC_POSITIONS crystal
Ga 0.250 0.250 0.250
Ga 0.750 0.750 0.750
Ir 0.000 0.000 0.000
Cl 0.500 0.500 0.500
CELL_PARAMETERS angstrom
0.000 3.267 3.267
3.267 0.000 3.267
3.267 3.267 0.000
! Size of the total moment ... 0.00 μB per atom

---

(ii)
! Ga2IrCl | Alexandria | PBE | relaxed; values from VASP
&SYSTEM
  ibrav = 0, nat = 8, ntyp = 3
/
ATOMIC_SPECIES
Ga 69.72 Ga.upf
Ir 192.22 Ir.upf
Cl 35.45 Cl.upf
ATOMIC_POSITIONS crystal
Ga 0.073 0.625 0.948
Ga 0.375 0.323 0.448
Ga 0.677 0.125 0.052
Ga 0.875 0.927 0.552
Ir 0.000 0.000 0.000
Ir 0.750 0.250 0.500
Cl 0.250 0.750 0.500
Cl 0.500 0.500 0.000
CELL_PARAMETERS angstrom
-3.003 3.003 5.669
3.003 -3.003 5.669
3.003 3.003 -5.669
! Size of the total moment ... 0.00 μB per atom

---

Stability verdict: (ii), ahead by 36.6 kJ/mol of atoms